VASP calculation (GGA-PBE) on crystalline Mg3Cu2 at its relaxed geometry.

The structure in POSCAR format:
```
Mg3Cu2
1.0
0.000 9.869 1.506
5.904 0.000 1.506
5.904 9.869 0.000
Mg Cu
6 4
Direct
0.000 0.000 0.000 Mg
0.238 0.779 0.549 Mg
0.250 0.250 0.250 Mg
0.701 0.816 0.012 Mg
0.779 0.238 0.434 Mg
0.816 0.701 0.471 Mg
0.307 0.613 0.758 Cu
0.492 0.928 0.943 Cu
0.613 0.307 0.322 Cu
0.928 0.492 0.637 Cu
```

Values from the calculation:
ΔH_f (0 K): -26 meV per atom
energy relative to the lowest polymorph listed for this composition: 56 meV/atom
N(E_F): 3.29 states/eV/cell
E: -2.6214 eV per atom
calculated volume: 175.5 Å³ per cell

---

VASP calculation (GGA-PBE) on crystalline MgCu4 at its relaxed geometry.

The structure in POSCAR format:
```
MgCu4
1.0
3.531 0.000 0.000
0.000 3.531 0.000
0.000 0.000 11.642
Mg Cu
2 8
Direct
0.000 0.000 0.000 Mg
0.500 0.500 0.500 Mg
0.000 0.000 0.398 Cu
0.000 0.000 0.602 Cu
0.000 0.500 0.250 Cu
0.000 0.500 0.750 Cu
0.500 0.000 0.250 Cu
0.500 0.000 0.750 Cu
0.500 0.500 0.102 Cu
0.500 0.500 0.898 Cu
```

Values from the calculation:
ΔH_f (0 K): 85 meV per atom
N(E_F): 4.07 states/eV/cell
E: -3.5112 eV per atom
calculated volume: 145.2 Å³ per cell